Entry 1:
VPPtO2 after structural relaxation, computed with PBE+U.

The structure in POSCAR format:
```
VPPtO2
1.0
-2.5771 0.7110 2.7701
2.0368 -2.1612 2.4497
2.7262 4.2172 1.4539
Pt V O P
1 1 2 1
direct
0.0000 0.0000 0.0000 Pt
0.5000 0.5000 0.5000 V
0.0000 0.5000 0.0000 O
0.5000 0.0000 0.0000 O
0.0000 0.0000 0.5000 P
```

Entry 2:
VP2PtO after structural relaxation, computed with PBE+U.

The structure in POSCAR format:
```
VP2PtO
1.0
4.6959 0.0000 0.0000
0.0000 4.6959 0.0000
0.0000 0.0000 3.5271
V P Pt O
1 2 1 1
direct
0.0000 0.0000 0.0000 V
0.0000 0.5000 0.0000 P
0.5000 0.0000 0.0000 P
0.5000 0.5000 0.5000 Pt
0.0000 0.0000 0.5000 O
```

Entry 3:
VP2PtO after structural relaxation, computed with PBE+U.

The structure in POSCAR format:
```
VP2PtO
1.0
-1.3910 -4.5987 0.4461
1.0686 -0.7734 -4.6413
3.4840 -0.9605 0.9622
P O Pt V
2 1 1 1
direct
0.5000 0.0000 0.0000 P
0.0000 0.5000 0.0000 P
0.0000 0.0000 0.5000 O
0.0000 0.0000 0.0000 Pt
0.5000 0.5000 0.5000 V
```

Entry 4:
VPPtO2 after structural relaxation, computed with PBE+U.

The structure in POSCAR format:
```
VPPtO2
1.0
-3.1835 -1.0273 -1.2830
1.6177 -2.4531 -2.0498
-0.4569 -3.7732 4.1550
Pt O P V
1 2 1 1
direct
0.5000 0.5000 0.5000 Pt
0.5000 0.0000 0.0000 O
0.0000 0.5000 0.0000 O
0.0000 0.0000 0.5000 P
0.0000 0.0000 0.0000 V
```

Entry 5:
P2PtWO after structural relaxation, computed with PBE+U.

The structure in POSCAR format:
```
P2PtWO
1.0
-0.0211 2.3667 -4.1918
1.3499 -4.0207 -2.2770
-3.5935 -0.9219 -0.5024
P Pt W O
2 1 1 1
direct
0.0000 0.5000 0.0000 P
0.5000 0.0000 0.0000 P
0.5000 0.5000 0.5000 Pt
0.0000 0.0000 0.0000 W
0.0000 0.0000 0.5000 O
```

Entry 6:
P2PtWO after structural relaxation, computed with PBE+U.

The structure in POSCAR format:
```
P2PtWO
1.0
-3.1568 -2.7879 -2.3468
2.5480 0.5312 -4.0584
2.0312 -3.0387 0.8776
Pt W P O
1 1 2 1
direct
0.0000 0.0000 0.0000 Pt
0.5000 0.5000 0.5000 W
0.5000 0.0000 0.0000 P
0.0000 0.5000 0.0000 P
0.0000 0.0000 0.5000 O
```

Ordered volume results: 15.50, 15.56, 17.41, 14.46, 17.35, 17.48; unit Å³/atom.
Ordered polymorph energy (0 for the lowest one) results: 384.7, 0.0, 317.8, 0.0, 0.0, 232.0; unit kJ/mol of formula units.
Ordered total DFT energy (no corrections) results: -5.56, -5.73, -5.07, -6.35, -5.61, -5.13; unit eV/atom.